Record 1
Here is Ba2NaH6Os after structural relaxation from Alexandria. Energies are from GGA-PBE.

Properties
As for the space-group type: P-3m1 (164). Its total energy is -4.030 eV/atom.

Unit cell a=5.622 b=5.622 c=6.273 alpha=90.00 beta=90.00 gamma=120.00
Fractional coordinates of all 10 atoms:
Ba 0.333 0.667 0.319
Ba 0.667 0.333 0.681
Na 0.000 0.000 0.000
H 0.146 0.291 0.662
H 0.146 0.854 0.662
H 0.291 0.146 0.338
H 0.709 0.854 0.662
H 0.854 0.146 0.338
H 0.854 0.709 0.338
Os 0.000 0.000 0.500

Record 2
Here is BaNa2PH after structural relaxation from Alexandria. Energies are from GGA-PBE.

Properties
As for the space-group type: Cmcm (63). As for the energy above the most stable polymorph in this dataset: 0 meV/atom.

Unit cell a=6.438 b=6.438 c=8.753 alpha=90.00 beta=90.00 gamma=139.27
Fractional coordinates of all 10 atoms:
Ba 0.055 0.945 0.750
Ba 0.945 0.055 0.250
Na 0.326 0.674 0.565
Na 0.326 0.674 0.935
Na 0.674 0.326 0.065
Na 0.674 0.326 0.435
P 0.238 0.762 0.250
P 0.762 0.238 0.750
H 0.500 0.500 0.000
H 0.500 0.500 0.500

Record 3
Here is Ba2NaPH after structural relaxation from Alexandria. Energies are from GGA-PBE.

Properties
As for the space-group type: P4/mmm (123). Its total energy is -3.248 eV/atom.

Unit cell a=5.372 b=5.372 c=4.559 alpha=90.00 beta=90.00 gamma=90.00
Fractional coordinates of all 5 atoms:
Ba 0.000 0.500 0.000
Ba 0.500 0.000 0.000
Na 0.000 0.000 0.500
P 0.500 0.500 0.500
H 0.000 0.000 0.000